# LaRu4Cl (PBE-GGA, optimized geometry)
# size of the total moment	20.79	μB/cell
# formation energy from raw total energies	0.4800	eV per atom
# VASP energy	-163.99	eV for the cell shown
data_LaRu4Cl
_cell_length_a 7.634
_cell_length_b 7.634
_cell_length_c 7.634
_cell_angle_alpha 90.00
_cell_angle_beta 90.00
_cell_angle_gamma 90.00
_symmetry_space_group_name_H-M 'F -4 3 m'
_symmetry_Int_Tables_number 216
_symmetry_space_group_name_Hall 'F -4 2 3'
loop_
_atom_site_label
_atom_site_fract_x
_atom_site_fract_y
_atom_site_fract_z
La1 0.000 0.000 0.000
Ru1 0.125 0.125 0.625
Cl1 0.250 0.250 0.250